Entry 1:
Compound: PmNd2ErTl2
Source: Alexandria via LeMat-Bulk
Functional: PBE
Structure: relaxed

It has space group Pmc2_1 (No. 26), with a = 5.186 Å, b = 10.216 Å, c = 6.956 Å, α = 90.00°, β = 90.00° and γ = 90.00°. The distinct sites, in fractional coordinates, are Pm at (0.000, 0.044, 0.000), Nd at (0.000, 0.316, 0.372), Nd at (0.500, 0.454, 0.096), Er at (0.500, 0.187, 0.716), Tl at (0.000, 0.356, 0.837) and Tl at (0.500, 0.125, 0.262).

Entry 2:
Compound: Pm3Nd6Er2Tl
Source: Alexandria via LeMat-Bulk
Functional: PBE
Structure: relaxed

It has space group C2/m (No. 12), with a = 6.262 Å, b = 10.898 Å, c = 11.865 Å, α = 90.00°, β = 100.45° and γ = 90.00°. The distinct sites, in fractional coordinates, are Pm at (0.000, 0.000, 0.000), Pm at (0.000, 0.331, 0.000), Nd at (0.244, 0.336, 0.743), Nd at (0.247, 0.500, 0.254), Er at (0.000, 0.166, 0.500) and Tl at (0.000, 0.500, 0.500).

Entry 3:
Compound: PmNdEr2Tl4
Source: Alexandria via LeMat-Bulk
Functional: PBE
Structure: relaxed

It has space group R-3m (No. 166, hexagonal axes), with a = 5.4167 Å, b = 5.4167 Å, c = 26.6058 Å, α = 90.00°, β = 90.00° and γ = 120.00°. The distinct sites, in fractional coordinates, are Pm at (0.0000, 0.0000, 0.0000), Nd at (0.0000, 0.0000, 0.5000), Er at (0.0000, 0.0000, 0.2500), Tl at (0.0000, 0.0000, 0.1246) and Tl at (0.0000, 0.0000, 0.3747).

Entry 4:
Compound: Pm5Nd2ErTm
Source: Alexandria via LeMat-Bulk
Functional: PBE
Structure: relaxed

It has space group I4/mcm (No. 140), with a = 8.566 Å, b = 8.566 Å, c = 16.722 Å, α = 90.00°, β = 90.00° and γ = 90.00°. The distinct sites, in fractional coordinates, are Pm at (0.000, 0.000, 0.000), Pm at (0.218, 0.282, 0.144), Nd at (0.122, 0.378, 0.500), Er at (0.000, 0.500, 0.250) and Tm at (0.000, 0.000, 0.250).

Entry 5:
Compound: PmNd5ErTm2
Source: Alexandria via LeMat-Bulk
Functional: PBE
Structure: relaxed

It has space group Cmc2_1 (No. 36), with a = 5.639 Å, b = 20.403 Å, c = 10.760 Å, α = 90.00°, β = 90.00° and γ = 90.00°. The distinct sites, in fractional coordinates, are Pm at (0.000, 0.201, 0.000), Nd at (0.000, 0.016, 0.011), Nd at (0.000, 0.281, 0.300), Nd at (0.000, 0.296, 0.694), Nd at (0.000, 0.389, 0.014), Nd at (0.000, 0.481, 0.734), Er at (0.000, 0.409, 0.451), Tm at (0.000, 0.110, 0.731) and Tm at (0.000, 0.115, 0.302).

Entry 6:
Compound: PmNd2ErTm2
Source: Alexandria via LeMat-Bulk
Functional: PBE
Structure: relaxed

It has space group Pmma (No. 51), with a = 7.027 Å, b = 5.661 Å, c = 9.790 Å, α = 90.00°, β = 90.00° and γ = 90.00°. The distinct sites, in fractional coordinates, are Pm at (0.250, 0.000, 0.156), Nd at (0.000, 0.000, 0.500), Nd at (0.250, 0.500, 0.678), Er at (0.000, 0.500, 0.000), Tm at (0.250, 0.000, 0.830) and Tm at (0.250, 0.500, 0.336).

no.,E_tot (Ry per atom),magnetic moment (μB/f.u.)
1,-0.309,0.00
2,-0.333,0.00
3,-0.284,0.00
4,-0.325,0.00
5,-0.333,0.00
6,-0.336,0.00